1.
## Mg2BeSbCl (PBE)

Data for a relaxed Mg2BeSbCl crystal.

## Properties
E_form (uncorrected)	0.2380	eV/atom
volume	29.2	Å³/atom
E_tot	-2.34	eV per atom
density	2.443	g cm⁻³

POSCAR file:
```
Mg2BeSbCl
1.0
-4.805 -2.359 2.147
2.195 -3.709 0.837
1.364 1.990 5.239
Cl Mg Sb Be
1 2 1 1
Cartesian
-0.623 -2.039 4.112
0.682 0.995 2.620
-2.403 -1.180 1.074
0.000 0.000 0.000
1.097 -1.854 0.418
```

2.
## MgSc2BeCl (PBE)

Data for a relaxed MgSc2BeCl crystal.

## Properties
E_form (uncorrected)	0.0387	eV/atom
volume	22.8	Å³/atom
E_tot	-3.93	eV per atom
density	2.312	g cm⁻³

POSCAR file:
```
MgSc2BeCl
1.0
-2.728 -4.083 0.613
1.534 -1.637 -4.076
3.793 -2.188 2.306
Sc Be Mg Cl
2 1 1 1
Cartesian
-1.364 -2.042 0.306
1.896 -1.094 1.153
0.000 0.000 0.000
0.767 -0.818 -2.038
1.300 -3.954 -0.579
```

3.
## Mg2BeVCl (PBE)

Data for a relaxed Mg2BeVCl crystal.

## Properties
E_form (uncorrected)	0.8197	eV/atom
volume	26.7	Å³/atom
E_tot	-2.76	eV per atom
density	1.793	g cm⁻³

POSCAR file:
```
Mg2BeVCl
1.0
5.493 0.000 0.000
0.000 4.421 0.000
0.000 0.000 5.493
Mg V Cl Be
2 1 1 1
Cartesian
2.746 0.000 0.000
0.000 0.000 2.746
0.000 0.000 0.000
0.000 2.210 0.000
2.746 2.210 2.746
```

The calculation returns the following Fermi-level density of states values, one per record and in order: 0.72; 1.38; 0.77 states/eV/atom.